This record from Alexandria via LeMat-Bulk describes an optimized crystal structure of CsRb2MoF6. The functional is GGA+U.

Total magnetic moment in μB per cell: 6.0
Fermi-level density of states in states/eV per cell: 0.00
E above lowest polymorph in meV per atom: 0
Total energy in eV/atom: -4.8695

abc: 6.6303 7.0042 11.4787
angles: 90.00 124.49 90.00
Atoms (fractional coordinates):
Cs: 0.0000 0.0000 0.0000
Cs: 0.0000 0.5000 0.5000
Rb: 0.2261 0.0438 0.7390
Rb: 0.2261 0.4562 0.2390
Rb: 0.7739 0.5438 0.7610
Rb: 0.7739 0.9562 0.2610
Mo: 0.5000 0.0000 0.5000
Mo: 0.5000 0.5000 0.0000
F: 0.1994 0.1600 0.4636
F: 0.1994 0.3400 0.9636
F: 0.2671 0.7419 0.9169
F: 0.2671 0.7581 0.4169
F: 0.4076 0.0758 0.2971
F: 0.4076 0.4242 0.7971
F: 0.5924 0.5758 0.2029
F: 0.5924 0.9242 0.7029
F: 0.7329 0.2419 0.5831
F: 0.7329 0.2581 0.0831
F: 0.8006 0.6600 0.0364
F: 0.8006 0.8400 0.5364